w | SrCu4As2: relaxed, PBE.

Lattice parameters (Å, degrees): 7.705 7.705 3.946 90.00 90.00 90.00
Element x y z (fractional)
Sr1 0.000 0.000 0.000
Sr2 0.500 0.500 0.500
Cu1 0.083 0.348 0.500
Cu2 0.152 0.583 0.000
Cu3 0.348 0.083 0.500
Cu4 0.417 0.848 0.000
Cu5 0.583 0.152 0.000
Cu6 0.652 0.917 0.500
Cu7 0.848 0.417 0.000
Cu8 0.917 0.652 0.500
As1 0.221 0.779 0.500
As2 0.279 0.279 0.000
As3 0.721 0.721 0.000
As4 0.779 0.221 0.500

Computed properties:
total magnetic moment: 0.000 μB/cell
density of states at the Fermi level: 2.25 states/eV per cell
space-group type: P4_2/mnm

x | SrCu4As2: relaxed, PBE.

Lattice parameters (Å, degrees): 8.265 8.265 8.265 29.41 29.41 29.41
Element x y z (fractional)
Sr1 0.000 0.000 0.000
Cu1 0.145 0.145 0.145
Cu2 0.441 0.441 0.441
Cu3 0.559 0.559 0.559
Cu4 0.855 0.855 0.855
As1 0.249 0.249 0.249
As2 0.751 0.751 0.751

Computed properties:
total magnetic moment: 0.000 μB/cell
density of states at the Fermi level: 2.19 states/eV per cell
space-group type: R-3m

It is x that is most stable; the runner-up trails by 0.006 eV/atom.

w | Sr2Cu2As: relaxed, PBE.

Lattice parameters (Å, degrees): 3.699 3.699 17.917 90.00 90.00 90.00
Element x y z (fractional)
Sr1 0.000 0.000 0.103
Sr2 0.000 0.000 0.897
Sr3 0.500 0.500 0.397
Sr4 0.500 0.500 0.603
Cu1 0.000 0.500 0.250
Cu2 0.000 0.500 0.750
Cu3 0.500 0.000 0.250
Cu4 0.500 0.000 0.750
As1 0.000 0.000 0.500
As2 0.500 0.500 0.000

Computed properties:
total magnetic moment: 0.000 μB/cell
density of states at the Fermi level: 3.95 states/eV per cell
space-group type: I4/mmm

x | Sr2Cu2As: relaxed, PBE.

Lattice parameters (Å, degrees): 7.384 7.384 4.398 90.00 90.00 90.00
Element x y z (fractional)
Sr1 0.190 0.310 0.000
Sr2 0.310 0.810 0.000
Sr3 0.690 0.190 0.000
Sr4 0.810 0.690 0.000
Cu1 0.113 0.613 0.500
Cu2 0.387 0.113 0.500
Cu3 0.613 0.887 0.500
Cu4 0.887 0.387 0.500
As1 0.000 0.000 0.500
As2 0.500 0.500 0.500

Computed properties:
total magnetic moment: 0.000 μB/cell
density of states at the Fermi level: 3.94 states/eV per cell
space-group type: P4/mbm

It is w that is most stable; the runner-up trails by 0.015 eV/atom.

w | TaCuAs3: relaxed, PBE.

Lattice parameters (Å, degrees): 4.973 4.973 4.973 90.00 90.00 90.00
Element x y z (fractional)
Ta1 0.000 0.000 0.000
Cu1 0.500 0.500 0.500
As1 0.000 0.000 0.500
As2 0.000 0.500 0.000
As3 0.500 0.000 0.000

Computed properties:
total magnetic moment: 0.000 μB/cell
density of states at the Fermi level: 5.09 states/eV per cell
space-group type: Pm-3m

x | TaCuAs3: relaxed, PBE.

Lattice parameters (Å, degrees): 4.610 4.610 4.610 90.00 90.00 90.00
Element x y z (fractional)
Ta1 0.000 0.000 0.000
Cu1 0.500 0.500 0.500
As1 0.000 0.500 0.500
As2 0.500 0.000 0.500
As3 0.500 0.500 0.000

Computed properties:
total magnetic moment: 1.004 μB/cell
density of states at the Fermi level: 4.30 states/eV per cell
space-group type: Pm-3m

It is w that is most stable; the runner-up trails by 0.316 eV/atom.

w | Ta2CuTcAs: relaxed, PBE.

Lattice parameters (Å, degrees): 4.839 4.839 4.616 90.00 90.00 90.00
Element x y z (fractional)
Ta1 0.000 0.500 0.000
Ta2 0.500 0.000 0.000
Cu1 0.000 0.000 0.500
Tc1 0.500 0.500 0.000
As1 0.500 0.500 0.500

Computed properties:
total magnetic moment: 0.000 μB/cell
density of states at the Fermi level: 4.16 states/eV per cell
space-group type: P4/mmm

x | Ta2CuTcAs: relaxed, PBE.

Lattice parameters (Å, degrees): 4.622 4.622 4.496 90.00 90.00 90.00
Element x y z (fractional)
Ta1 0.000 0.500 0.000
Ta2 0.500 0.000 0.000
Cu1 0.000 0.000 0.000
Tc1 0.000 0.000 0.500
As1 0.500 0.500 0.500

Computed properties:
total magnetic moment: 0.000 μB/cell
density of states at the Fermi level: 4.14 states/eV per cell
space-group type: P4/mmm

It is w that is most stable; the runner-up trails by 0.060 eV/atom.

w | CuTc3As: relaxed, PBE.

Lattice parameters (Å, degrees): 4.484 4.484 4.484 90.00 90.00 90.00
Element x y z (fractional)
Cu1 0.000 0.000 0.000
Tc1 0.000 0.000 0.500
Tc2 0.000 0.500 0.000
Tc3 0.500 0.000 0.000
As1 0.500 0.500 0.500

Computed properties:
total magnetic moment: 3.173 μB/cell
density of states at the Fermi level: 6.60 states/eV per cell
space-group type: Pm-3m

x | CuTc3As: relaxed, PBE.

Lattice parameters (Å, degrees): 4.516 4.516 4.516 90.00 90.00 90.00
Element x y z (fractional)
Cu1 0.000 0.000 0.000
Tc1 0.000 0.500 0.500
Tc2 0.500 0.000 0.500
Tc3 0.500 0.500 0.000
As1 0.500 0.500 0.500

Computed properties:
total magnetic moment: 0.000 μB/cell
density of states at the Fermi level: 4.57 states/eV per cell
space-group type: Pm-3m

It is x that is most stable; the runner-up trails by 0.357 eV/atom.

w | CuTcAs: relaxed, PBE.

Lattice parameters (Å, degrees): 4.101 4.101 3.058 90.00 90.00 120.00
Element x y z (fractional)
Cu1 0.000 0.000 0.000
Tc1 0.667 0.333 0.497
As1 0.333 0.667 0.643

Computed properties:
total magnetic moment: 0.000 μB/cell
density of states at the Fermi level: 1.47 states/eV per cell
space-group type: P3m1

x | CuTcAs: relaxed, PBE.

Lattice parameters (Å, degrees): 3.029 4.733 12.857 90.00 90.00 90.00
Element x y z (fractional)
Cu1 0.000 0.000 0.000
Cu2 0.000 0.500 0.500
Cu3 0.500 0.000 0.500
Cu4 0.500 0.500 0.000
Tc1 0.000 0.000 0.667
Tc2 0.000 0.500 0.167
Tc3 0.500 0.000 0.167
Tc4 0.500 0.500 0.667
As1 0.000 0.000 0.323
As2 0.000 0.500 0.823
As3 0.500 0.000 0.823
As4 0.500 0.500 0.323

Computed properties:
total magnetic moment: 2.180 μB/cell
density of states at the Fermi level: 13.46 states/eV per cell
space-group type: Fmm2

y | CuTcAs: relaxed, PBE.

Lattice parameters (Å, degrees): 3.138 3.138 8.651 90.00 90.00 90.00
Element x y z (fractional)
Cu1 0.000 0.000 0.000
Cu2 0.500 0.500 0.500
Tc1 0.000 0.000 0.318
Tc2 0.500 0.500 0.818
As1 0.000 0.000 0.666
As2 0.500 0.500 0.166

Computed properties:
total magnetic moment: 1.283 μB/cell
density of states at the Fermi level: 6.13 states/eV per cell
space-group type: I4mm

z | CuTcAs: relaxed, PBE.

Lattice parameters (Å, degrees): 5.729 5.729 5.729 90.00 90.00 90.00
Element x y z (fractional)
Cu1 0.000 0.000 0.000
Cu2 0.000 0.500 0.500
Cu3 0.500 0.000 0.500
Cu4 0.500 0.500 0.000
Tc1 0.000 0.000 0.500
Tc2 0.000 0.500 0.000
Tc3 0.500 0.000 0.000
Tc4 0.500 0.500 0.500
As1 0.250 0.250 0.250
As2 0.250 0.750 0.750
As3 0.750 0.250 0.750
As4 0.750 0.750 0.250

Computed properties:
total magnetic moment: 0.000 μB/cell
density of states at the Fermi level: 10.53 states/eV per cell
space-group type: F-43m

It is y that is most stable; the runner-up trails by 0.035 eV/atom.